# 1
The following is a PBE calculation of a geometry-optimized CeDy6Y10 structure, from Alexandria via LeMat-Bulk.

a b c (Å): 6.8535 9.6618 9.6618
angles (deg): 120.00 90.00 90.00
Closest atoms and distances in Å follow each position.
Sites, in units of the cell vectors:
Ce 0.5000 0.0000 0.0000  6 Y 3.41
Dy 0.6989 0.3782 0.3782  9 Y 3.32-3.66, 1 Dy 3.60
Dy 0.6989 0.0000 0.6218  9 Y 3.32-3.66, 1 Dy 3.60
Dy 0.6989 0.6218 0.0000  9 Y 3.32-3.66, 1 Dy 3.60
Dy 0.3011 0.6218 0.6218  9 Y 3.32-3.66, 1 Dy 3.60
Dy 0.3011 0.0000 0.3782  9 Y 3.32-3.66, 1 Dy 3.60
Dy 0.3011 0.3782 0.0000  9 Y 3.32-3.66, 1 Dy 3.60
Y 0.8147 0.7269 0.7269  5 Dy 3.36-3.66, 1 Ce 3.41, 2 Y 3.66
Y 0.8147 0.0000 0.2731  5 Dy 3.36-3.66, 1 Ce 3.41, 2 Y 3.66
Y 0.8147 0.2731 0.0000  5 Dy 3.36-3.66, 1 Ce 3.41, 2 Y 3.66
Y 0.1853 0.2731 0.2731  5 Dy 3.36-3.66, 1 Ce 3.41, 2 Y 3.66
Y 0.1853 0.0000 0.7269  5 Dy 3.36-3.66, 1 Ce 3.41, 2 Y 3.66
Y 0.1853 0.7269 0.0000  5 Dy 3.36-3.66, 1 Ce 3.41, 2 Y 3.66
Y 0.5000 0.3333 0.6667  6 Dy 3.32, 2 Y 3.43
Y 0.5000 0.6667 0.3333  6 Dy 3.32, 2 Y 3.43
Y 0.0000 0.6667 0.3333  8 Y 3.43-3.77, 6 Dy 3.66
Y 0.0000 0.3333 0.6667  8 Y 3.43-3.77, 6 Dy 3.66

- symmetry = P-31m, No. 162
- M_tot (μB per formula unit) = 1.28
- N(E_F) (states/eV/atom) = 1.643
- energy of formation from the pure elements (eV per atom) = 0.14

=====

# 2
The following is a PBE calculation of a geometry-optimized Ca3Ag3Pd structure, from Alexandria via LeMat-Bulk.

a b c (Å): 4.0384 5.8192 15.9572
angles (deg): 83.11 82.73 69.70
Closest atoms and distances in Å follow each position.
Sites, in units of the cell vectors:
Ca 0.5153 0.3542 0.6152  3 Pd 3.05-3.20, 6 Ag 3.16-3.28
Ca 0.4847 0.6458 0.3848  3 Pd 3.05-3.20, 6 Ag 3.16-3.28
Ca 0.2657 0.2303 0.2382  2 Pd 2.96, 3 Ag 3.08-3.13
Ca 0.7343 0.7697 0.7618  2 Pd 2.96, 3 Ag 3.08-3.13
Ca 0.3884 0.3002 0.9231  7 Ag 3.08-3.23
Ca 0.6116 0.6998 0.0769  7 Ag 3.08-3.23
Ag 0.8489 0.7736 0.5285  3 Pd 2.79-2.89
Ag 0.1511 0.2264 0.4715  3 Pd 2.79-2.89
Ag 0.1060 0.8644 0.9236  2 Ag 2.88-2.94, 5 Ca 3.08-3.23
Ag 0.8940 0.1356 0.0764  2 Ag 2.88-2.94, 5 Ca 3.08-3.23
Ag 0.9884 0.7972 0.2261  1 Pd 2.78, 1 Ag 2.88, 1 Ca 3.08
Ag 0.0116 0.2028 0.7739  1 Pd 2.78, 1 Ag 2.88, 1 Ca 3.08
Pd 0.7830 0.0663 0.3678  4 Ag 2.78-2.89, 4 Ca 2.96-3.05
Pd 0.2170 0.9337 0.6322  4 Ag 2.78-2.89, 4 Ca 2.96-3.05

- symmetry = C2/m, No. 12
- M_tot (μB per formula unit) = 0.00
- N(E_F) (states/eV/atom) = 0.453
- energy of formation from the pure elements (eV per atom) = -0.39

=====

# 3
The following is a PBE calculation of a geometry-optimized NaEuSCl structure, from Alexandria via LeMat-Bulk.

a b c (Å): 5.0321 5.0321 5.0321
angles (deg): 60.00 60.00 60.00
Closest atoms and distances in Å follow each position.
Sites, in units of the cell vectors:
Eu 0.0000 0.0000 0.0000  4 S 3.08, 4 Cl 3.08
Na 0.5000 0.5000 0.5000  4 Cl 3.08, 4 S 3.08
S 0.2500 0.2500 0.2500  4 Na 3.08, 4 Eu 3.08
Cl 0.7500 0.7500 0.7500  4 Na 3.08, 4 Eu 3.08

- formation energy from raw total energies (eV per atom) = -1.691
- symmetry = F-43m, No. 216
- M_tot (μB per formula unit) = 7.00

=====

# 4
The following is a PBE calculation of a geometry-optimized Tb2CeAl structure, from Alexandria via LeMat-Bulk.

a b c (Å): 4.6007 4.8059 4.8059
angles (deg): 90.00 90.00 90.00
Closest atoms and distances in Å follow each position.
Sites, in units of the cell vectors:
Tb 0.0000 0.0000 0.5000  4 Ce 3.33, 4 Al 3.33, 4 Tb 3.40
Tb 0.0000 0.5000 0.0000  4 Ce 3.33, 4 Al 3.33, 4 Tb 3.40
Al 0.5000 0.0000 0.0000  8 Tb 3.33, 4 Ce 3.40
Ce 0.5000 0.5000 0.5000  8 Tb 3.33, 4 Al 3.40

- relative energy among the computed polymorphs (meV/atom) = 0
- symmetry = P4/mmm, No. 123
- M_tot (μB per formula unit) = 0.01
- N(E_F) (states/eV/atom) = 1.711
- energy of formation from the pure elements (eV per atom) = -0.15

=====

# 5
The following is a PBE calculation of a geometry-optimized Sm3Ho6Tm2 structure, from Alexandria via LeMat-Bulk.

a b c (Å): 3.5484 3.5484 31.7792
angles (deg): 86.80 86.80 60.00
Closest atoms and distances in Å follow each position.
Sites, in units of the cell vectors:
Sm 0.0000 0.0000 0.0000  6 Sm 3.55, 6 Ho 3.56
Sm 0.7280 0.7280 0.8161  6 Sm 3.55, 6 Ho 3.56-3.57
Sm 0.2720 0.2720 0.1839  6 Sm 3.55, 6 Ho 3.56-3.57
Ho 0.9080 0.9080 0.2761  3 Tm 3.50, 6 Ho 3.55, 3 Sm 3.57
Ho 0.0920 0.0920 0.7239  3 Tm 3.50, 6 Ho 3.55, 3 Sm 3.57
Ho 0.8183 0.8183 0.5451  3 Tm 3.50, 9 Ho 3.52-3.55
Ho 0.1817 0.1817 0.4549  3 Tm 3.50, 9 Ho 3.52-3.55
Ho 0.6360 0.6360 0.0920  6 Ho 3.55, 6 Sm 3.56
Ho 0.3640 0.3640 0.9080  6 Ho 3.55, 6 Sm 3.56
Tm 0.5448 0.5448 0.3655  6 Ho 3.50, 6 Tm 3.55
Tm 0.4552 0.4552 0.6345  6 Ho 3.50, 6 Tm 3.55

- relative energy among the computed polymorphs (meV/atom) = 0
- symmetry = R-3m, No. 166
- M_tot (μB per formula unit) = 0.00
- N(E_F) (states/eV/atom) = 1.312
- energy of formation from the pure elements (eV per atom) = 0.02

=====

# 6
The following is a PBE calculation of a geometry-optimized BaHg9Pb2 structure, from Alexandria via LeMat-Bulk.

a b c (Å): 3.8244 10.3733 10.3733
angles (deg): 120.00 90.00 90.00
Closest atoms and distances in Å follow each position.
Sites, in units of the cell vectors:
Ba 0.0000 0.0000 0.0000  12 Hg 3.70, 2 Ba 3.82
Hg 0.5000 0.8236 0.1764  6 Hg 3.17-3.48, 2 Pb 3.41
Hg 0.0000 0.0000 0.5000  2 Pb 2.99
Hg 0.0000 0.5000 0.5000  2 Pb 2.99
Hg 0.5000 0.8236 0.6472  6 Hg 3.17-3.48, 2 Pb 3.41
Hg 0.5000 0.1764 0.8236  6 Hg 3.17-3.48, 2 Pb 3.41
Hg 0.5000 0.6472 0.8236  6 Hg 3.17-3.48, 2 Pb 3.41
Hg 0.5000 0.1764 0.3528  6 Hg 3.17-3.48, 2 Pb 3.41
Hg 0.0000 0.5000 0.0000  2 Pb 2.99
Hg 0.5000 0.3528 0.1764  6 Hg 3.17-3.48, 2 Pb 3.41
Pb 0.0000 0.6667 0.3333  3 Hg 2.99
Pb 0.0000 0.3333 0.6667  3 Hg 2.99

- relative energy among the computed polymorphs (meV/atom) = 32
- symmetry = P6/mmm, No. 191
- M_tot (μB per formula unit) = 0.00
- N(E_F) (states/eV/atom) = 0.456
- energy of formation from the pure elements (eV per atom) = -0.10

=====

# 7
The following is a PBE calculation of a geometry-optimized Dy6Ga3Te structure, from Alexandria via LeMat-Bulk.

a b c (Å): 7.4232 8.8236 8.8236
angles (deg): 106.99 90.00 90.00
Closest atoms and distances in Å follow each position.
Sites, in units of the cell vectors:
Dy 0.1172 0.7452 0.6688  3 Ga 2.96-3.07
Dy 0.6172 0.6688 0.7452  3 Ga 2.96-3.07
Dy 0.2526 0.4816 0.8987  3 Ga 2.94-3.04, 1 Te 3.13
Dy 0.7526 0.8987 0.4816  3 Ga 2.94-3.04, 1 Te 3.13
Dy 0.2555 0.9858 0.0142  4 Ga 2.96-3.00, 2 Te 2.99-3.16
Dy 0.6685 0.2863 0.7137  1 Te 3.09, 3 Ga 3.11-3.27, 2 Dy 3.33
Dy 0.1685 0.7137 0.2863  1 Te 3.09, 3 Ga 3.11-3.27, 2 Dy 3.33
Dy 0.7555 0.0142 0.9858  4 Ga 2.96-3.00, 2 Te 2.99-3.16
Dy 0.2526 0.1013 0.5184  3 Ga 2.94-3.04, 1 Te 3.13
Dy 0.7526 0.5184 0.1013  3 Ga 2.94-3.04, 1 Te 3.13
Dy 0.1172 0.3312 0.2548  3 Ga 2.96-3.07
Dy 0.6172 0.2548 0.3312  3 Ga 2.96-3.07
Ga 0.4755 0.9802 0.7331  6 Dy 2.94-3.11, 1 Ga 3.01
Ga 0.9755 0.7331 0.9802  6 Dy 2.94-3.11, 1 Ga 3.01
Ga 0.3484 0.4450 0.5550  7 Dy 2.96-3.27
Ga 0.8484 0.5550 0.4450  7 Dy 2.96-3.27
Ga 0.9755 0.0198 0.2669  6 Dy 2.94-3.11, 1 Ga 3.01
Ga 0.4755 0.2669 0.0198  6 Dy 2.94-3.11, 1 Ga 3.01
Te 0.0222 0.1721 0.8279  5 Dy 2.99-3.16
Te 0.5222 0.8279 0.1721  5 Dy 2.99-3.16

- formation energy from raw total energies (eV per atom) = -0.471
- symmetry = Cmc2_1, No. 36
- M_tot (μB per formula unit) = 0.00
- N(E_F) (states/eV/atom) = 0.998

=====

# 8
The following is a PBE calculation of a geometry-optimized Ba2AlZn5 structure, from Alexandria via LeMat-Bulk.

a b c (Å): 7.1334 7.1334 7.1334
angles (deg): 75.90 128.45 128.45
Closest atoms and distances in Å follow each position.
Sites, in units of the cell vectors:
Ba 0.5000 0.2166 0.7166  10 Zn 3.33-3.64, 2 Al 3.53
Ba 0.5000 0.7166 0.2166  10 Zn 3.33-3.64, 2 Al 3.53
Al 0.0000 0.0675 0.0675  5 Zn 2.64-2.88
Zn 0.4487 0.6987 0.6987  3 Zn 2.60-2.78, 1 Al 2.64
Zn 0.0000 0.6987 0.2501  3 Zn 2.60-2.78, 1 Al 2.64
Zn 0.0000 0.2501 0.6987  3 Zn 2.60-2.78, 1 Al 2.64
Zn 0.5513 0.2501 0.2501  3 Zn 2.60-2.78, 1 Al 2.64
Zn 0.0000 0.3238 0.3238  4 Zn 2.60, 1 Al 2.88

- relative energy among the computed polymorphs (meV/atom) = 42
- symmetry = I4mm, No. 107
- M_tot (μB per formula unit) = 0.00
- N(E_F) (states/eV/atom) = 0.758
- energy of formation from the pure elements (eV per atom) = -0.10

=====

# 9
The following is a PBE calculation of a geometry-optimized LiBeHg2 structure, from Alexandria via LeMat-Bulk.

a b c (Å): 7.1343 4.5693 3.1344
angles (deg): 89.56 64.57 129.30
Closest atoms and distances in Å follow each position.
Sites, in units of the cell vectors:
Be 0.5000 0.5000 0.0000  8 Hg 2.76-2.78
Hg 0.0000 0.0000 0.0000  4 Be 2.76-2.78, 4 Li 2.76-2.78
Hg 0.5000 0.0000 0.5000  4 Li 2.76-2.78, 4 Be 2.76-2.78
Li 0.0000 0.5000 0.5000  8 Hg 2.76-2.78

- symmetry = C2/m, No. 12
- M_tot (μB per formula unit) = 0.00
- N(E_F) (states/eV/atom) = 0.238
- energy of formation from the pure elements (eV per atom) = 0.08

=====

# 10
The following is a PBE calculation of a geometry-optimized Rb2CaGaBi2 structure, from Alexandria via LeMat-Bulk.

a b c (Å): 7.3390 7.5402 10.2096
angles (deg): 111.67 111.06 90.00
Closest atoms and distances in Å follow each position.
Sites, in units of the cell vectors:
Rb 0.4377 0.1747 0.3494  5 Bi 3.70-4.10, 2 Ga 3.99, 2 Ca 4.08
Rb 0.5623 0.8253 0.6506  5 Bi 3.70-4.10, 2 Ga 3.99, 2 Ca 4.08
Rb 0.0883 0.3253 0.6506  5 Bi 3.70-4.10, 2 Ga 3.99, 2 Ca 4.08
Rb 0.9117 0.6747 0.3494  5 Bi 3.70-4.10, 2 Ga 3.99, 2 Ca 4.08
Ca 0.0000 0.7500 0.0000  4 Bi 3.22
Ca 0.0000 0.2500 0.0000  4 Bi 3.22
Ga 0.5000 0.7500 0.0000  4 Bi 3.09
Ga 0.5000 0.2500 0.0000  4 Bi 3.09
Bi 0.8338 0.0994 0.1989  2 Ga 3.09, 2 Ca 3.22
Bi 0.3650 0.5994 0.1989  2 Ga 3.09, 2 Ca 3.22
Bi 0.6350 0.4006 0.8011  2 Ga 3.09, 2 Ca 3.22
Bi 0.1662 0.9006 0.8011  2 Ga 3.09, 2 Ca 3.22

- symmetry = Ibam, No. 72
- M_tot (μB per formula unit) = 0.00
- N(E_F) (states/eV/atom) = 0.363
- energy of formation from the pure elements (eV per atom) = -0.44

=====

# 11
The following is a PBE calculation of a geometry-optimized Tl3ZnHg7 structure, from Alexandria via LeMat-Bulk.

a b c (Å): 5.3498 8.2023 8.2002
angles (deg): 89.56 70.75 70.72
Closest atoms and distances in Å follow each position.
Sites, in units of the cell vectors:
Tl 0.0000 0.7743 0.2257  9 Hg 3.17-3.45
Tl 0.5000 0.0000 0.0000  8 Hg 3.35-3.51, 4 Tl 3.73-3.74
Tl 0.0000 0.2257 0.7743  9 Hg 3.17-3.45
Zn 0.5000 0.5000 0.5000  4 Hg 2.67-2.90
Hg 0.7797 0.2192 0.2191  1 Zn 2.90, 2 Hg 3.14
Hg 0.6703 0.0771 0.5828  4 Hg 3.13-3.51, 4 Tl 3.20-3.42, 1 Zn 3.41
Hg 0.3297 0.4172 0.9229  4 Hg 3.13-3.51, 4 Tl 3.20-3.42, 1 Zn 3.41
Hg 0.6703 0.5828 0.0771  4 Hg 3.13-3.51, 4 Tl 3.20-3.42, 1 Zn 3.41
Hg 0.0000 0.5000 0.5000  2 Zn 2.67
Hg 0.3297 0.9229 0.4172  4 Hg 3.13-3.51, 4 Tl 3.20-3.42, 1 Zn 3.41
Hg 0.2203 0.7808 0.7809  1 Zn 2.90, 2 Hg 3.14

- symmetry = C2/m, No. 12
- M_tot (μB per formula unit) = 0.00
- N(E_F) (states/eV/atom) = 0.341
- energy of formation from the pure elements (eV per atom) = 0.05

=====

# 12
The following is a PBE calculation of a geometry-optimized DyHfPdRu structure, from Alexandria via LeMat-Bulk.

a b c (Å): 4.7575 4.7575 4.7575
angles (deg): 60.00 60.00 60.00
Closest atoms and distances in Å follow each position.
Sites, in units of the cell vectors:
Ru 0.7500 0.7500 0.7500  4 Hf 2.91, 4 Dy 2.91
Hf 0.0000 0.0000 0.0000  4 Ru 2.91, 4 Pd 2.91
Pd 0.2500 0.2500 0.2500  4 Hf 2.91, 4 Dy 2.91
Dy 0.5000 0.5000 0.5000  4 Pd 2.91, 4 Ru 2.91

- symmetry = F-43m, No. 216
- M_tot (μB per formula unit) = 0.00
- N(E_F) (states/eV/atom) = 0.432
- energy of formation from the pure elements (eV per atom) = -0.63